1.
DFT (PBE) results for a geometry-optimized ZrAuCl3 structure.

```
ZrAuCl3
1.0
-0.350 0.735 4.976
-3.074 -3.979 0.372
3.981 -3.007 0.725
Au Zr Cl
1 1 3
Direct
0.500 0.500 0.500
0.000 0.000 0.000
0.000 0.500 0.000
0.000 0.000 0.500
0.500 0.000 0.000
```

## Properties
- VASP energy (eV/atom) = -4.19
- space-group type = Pm-3m (221)

2.
DFT (PBE) results for a geometry-optimized AcBePt3 structure.

```
AcBePt3
1.0
-3.555 -3.175 3.610
1.901 -5.076 -2.593
2.897 2.197 4.784
Ac Be Pt
2 2 6
Direct
0.750 0.667 0.333
0.250 0.333 0.667
0.000 0.000 0.000
0.500 0.000 0.000
0.750 0.653 0.827
0.250 0.827 0.653
0.250 0.347 0.173
0.750 0.173 0.347
0.250 0.827 0.173
0.750 0.173 0.827
```

## Properties
- VASP energy (eV/atom) = -6.06
- calculated formation energy (kJ per mole of atoms) = -83.4
- space-group type = P6_3/mmc (194)

3.
DFT (PBE) results for a geometry-optimized HoPuMn2 structure.

```
HoPuMn2
1.0
3.396 0.000 0.000
0.000 3.396 0.000
0.000 0.000 6.755
Mn Ho Pu
2 1 1
Direct
0.000 0.000 0.792
0.000 0.000 0.208
0.500 0.500 0.500
0.500 0.500 0.000
```

## Properties
- VASP energy (eV/atom) = -9.26
- calculated formation energy (kJ per mole of atoms) = 5.2
- space-group type = P4/mmm (123)

4.
DFT (PBE) results for a geometry-optimized Pm5Y5Er structure.

```
Pm5Y5Er
1.0
6.048 0.000 0.000
-3.024 9.454 0.433
0.000 -2.751 6.425
Pm Y Er
5 5 1
Direct
0.671 0.341 0.177
0.625 0.249 0.631
0.000 0.000 0.500
0.375 0.751 0.369
0.329 0.659 0.823
0.824 0.648 0.073
0.823 0.646 0.579
0.500 0.000 0.000
0.177 0.354 0.421
0.176 0.352 0.927
0.000 0.000 0.000
```

## Properties
- VASP energy (eV/atom) = -5.25
- calculated formation energy (kJ per mole of atoms) = 25.7
- space-group type = C2/m (12)

Number 1: theoretical density 5.11 g/cm³. Number 2: theoretical density 14.59 g/cm³. Number 3: theoretical density 11.06 g/cm³. Number 4: theoretical density 5.93 g/cm³.